# Be2PdRh2

Crystalline Be2PdRh2 at its relaxed geometry (PBE-GGA, Alexandria via LeMat-Bulk).

POSCAR file:
```
Be2PdRh2
1.0
6.374 0.000 0.000
0.000 6.374 0.000
0.000 0.000 2.888
Be Rh Pd
4 4 2
direct
0.370 0.870 0.000
0.870 0.630 0.000
0.630 0.130 0.000
0.130 0.370 0.000
0.163 0.663 0.500
0.663 0.837 0.500
0.837 0.337 0.500
0.337 0.163 0.500
0.000 0.000 0.000
0.500 0.500 0.000
```

Computed properties:
For the electronic total energy, the calculation gives -59.15 eV for the cell shown. The volume is 58.7 Å³/f.u.